No. 1
Zn2InSb (PBEsol, relaxed); raw total energy = -0.1854 Ry per atom; M_tot = 0.00 μB/f.u.; SG = Immm
1.0
4.1773 0.0000 0.0000
0.0000 5.1034 0.0000
-2.0887 -2.5517 3.9197
In Sb Zn
1 1 2
direct
0.5000 0.0000 0.0000 In
0.0000 0.5000 0.0000 Sb
0.7509 0.7509 0.5017 Zn
0.2491 0.2491 0.4983 Zn

***

No. 2
ScInHg2 (PBEsol, relaxed); E_form = -197 meV per atom; raw total energy = -0.2115 Ry per atom; M_tot = 0.00 μB/f.u.; SG = R-3m
1.0
-0.1091 -2.1797 -2.6154
2.8284 -0.6738 -1.7747
2.8090 -7.8089 4.1724
Hg In Sc
2 1 1
direct
0.2538 0.2538 0.2386 Hg
0.7462 0.7462 0.7614 Hg
0.5000 0.5000 0.5000 In
0.0000 0.0000 0.0000 Sc

***

No. 3
Pm2NiGe (PBEsol, relaxed); E_form = -458 meV per atom; raw total energy = -0.4263 Ry per atom; M_tot = 0.00 μB/f.u.; SG = Fm-3m
1.0
4.9771 0.0000 0.0000
2.4886 4.3103 0.0000
2.4886 1.4368 4.0638
Ni Ge Pm
1 1 2
direct
0.5000 0.5000 0.5000 Ni
0.0000 0.0000 0.0000 Ge
0.2500 0.2500 0.2500 Pm
0.7500 0.7500 0.7500 Pm

***

No. 4
MgSc2Ta (PBEsol, relaxed); E_form = 219 meV per atom; raw total energy = -0.4888 Ry per atom; M_tot = 0.00 μB/f.u.; SG = I4/mmm
1.0
-2.7789 -1.8071 2.8791
-1.8979 -2.2603 -3.2506
5.0605 -1.1535 0.8127
Mg Sc Ta
1 2 1
direct
0.0000 0.0000 0.0000 Mg
0.7500 0.2500 0.5000 Sc
0.2500 0.7500 0.5000 Sc
0.5000 0.5000 0.0000 Ta

***

No. 5
SrCuRu2 (PBEsol, relaxed); E_form = 788 meV per atom; raw total energy = -0.4294 Ry per atom; M_tot = 0.00 μB/f.u.; SG = Imm2
1.0
-1.8673 1.5997 1.5074
-3.7403 -2.1257 -2.3773
2.6000 -3.1686 3.8241
Cu Ru Sr
1 2 1
direct
0.2788 0.7788 0.5576 Cu
0.0043 0.0043 0.0086 Ru
0.7171 0.2171 0.4342 Ru
0.4998 0.4998 0.9996 Sr

***

No. 6
Ti3NiW (PBEsol, relaxed); E_form = 1268 meV per atom; raw total energy = -0.5673 Ry per atom; M_tot = 0.00 μB/f.u.; SG = Pm-3m
1.0
-1.9101 2.6617 -3.3261
-3.7981 0.5869 2.6508
1.9294 3.7904 1.9252
Ni W Ti
1 1 3
direct
0.5000 0.5000 0.5000 Ni
0.0000 0.0000 0.0000 W
0.0000 0.5000 0.0000 Ti
0.0000 0.0000 0.5000 Ti
0.5000 0.0000 0.0000 Ti

***

No. 7
ZrFeP3O12 (PBEsol, relaxed); raw total energy = -0.5846 Ry per atom; M_tot = 3.09 μB/f.u.; SG = Pna2_1
1.0
8.4476 0.0000 0.0000
0.0000 8.5207 0.0000
0.0000 0.0000 11.8431
Zr Fe P O
4 4 12 48
direct
0.0041 0.9799 0.6224 Zr
0.9959 0.0201 0.1224 Zr
0.5041 0.5201 0.1224 Zr
0.4959 0.4799 0.6224 Zr
0.9998 0.5327 0.3883 Fe
0.0002 0.4673 0.8883 Fe
0.4998 0.9673 0.8883 Fe
0.5002 0.0327 0.3883 Fe
0.2296 0.2636 0.4783 P
0.1793 0.1516 0.8682 P
0.1061 0.4036 0.1555 P
0.8207 0.8484 0.3682 P
0.8939 0.5964 0.6555 P
0.7704 0.7364 0.9783 P
0.7296 0.2364 0.9783 P
0.6793 0.3484 0.3682 P
0.6061 0.0964 0.6555 P
0.3939 0.9036 0.1555 P
0.3207 0.6516 0.8682 P
0.2704 0.7636 0.4783 P
0.1966 0.8421 0.5809 O
0.1443 0.6957 0.3953 O
0.1378 0.6337 0.8771 O
0.2141 0.9236 0.1530 O
0.1593 0.3931 0.4000 O
0.1051 0.1462 0.5157 O
0.0262 0.4525 0.0432 O
0.0992 0.0909 0.9735 O
0.1658 0.3345 0.8619 O
0.0671 0.2351 0.1896 O
0.1114 0.0764 0.7614 O
0.0291 0.5292 0.2352 O
0.9709 0.4708 0.7352 O
0.8886 0.9236 0.2614 O
0.8342 0.6655 0.3619 O
0.9329 0.7649 0.6896 O
0.9008 0.9091 0.4735 O
0.9738 0.5475 0.5432 O
0.8407 0.6069 0.9000 O
0.8949 0.8538 0.0157 O
0.8622 0.3663 0.3771 O
0.7859 0.0764 0.6530 O
0.8557 0.3043 0.8953 O
0.8034 0.1579 0.0809 O
0.6443 0.8043 0.8953 O
0.6966 0.6579 0.0809 O
0.6378 0.8663 0.3771 O
0.7141 0.5764 0.6530 O
0.6593 0.1069 0.9000 O
0.6051 0.3538 0.0157 O
0.5992 0.4091 0.4735 O
0.5262 0.0475 0.5432 O
0.5671 0.2649 0.6896 O
0.6658 0.1655 0.3619 O
0.5291 0.9708 0.7352 O
0.6114 0.4236 0.2614 O
0.3886 0.5764 0.7614 O
0.4709 0.0292 0.2352 O
0.3342 0.8345 0.8619 O
0.4329 0.7351 0.1896 O
0.4738 0.9525 0.0432 O
0.4008 0.5909 0.9735 O
0.3407 0.8931 0.4000 O
0.3949 0.6462 0.5157 O
0.2859 0.4236 0.1530 O
0.3622 0.1337 0.8771 O
0.3034 0.3421 0.5809 O
0.3557 0.1957 0.3953 O

***

No. 8
YZnO2F (PBEsol, relaxed); raw total energy = -0.4724 Ry per atom; M_tot = 0.00 μB/f.u.; SG = P4/mmm
1.0
-0.1535 -0.3204 -3.7511
0.1249 -3.9253 0.3302
-3.9359 -0.1109 0.1706
Y Zn O F
1 1 2 1
direct
0.5000 0.5000 0.5000 Y
0.0000 0.0000 0.0000 Zn
0.0000 0.0000 0.5000 O
0.0000 0.5000 0.0000 O
0.5000 0.0000 0.0000 F

***

Question: The lowest raw total energy belongs to which entry?
Answer: ZrFeP3O12